# 1
Entry from Alexandria: a relaxed structure of PrNd2Ti (GGA-PBE).

Cell: 12.3474 12.3474 12.3474 Å, 16.00 16.00 16.00°
Fractional positions:
Pr: 0.0000 0.0000 0.0000
Nd: 0.4186 0.4186 0.4186
Nd: 0.5814 0.5814 0.5814
Ti: 0.5000 0.5000 0.5000

Summary:
**Space-group type**: R-3m, No. 166
**Total moment**: 1.852 μB per cell
**Calculated total energy**: -5.08 eV per atom
**Energy relative to the elements**: 0.4692 eV per atom


# 2
Entry from Alexandria: a relaxed structure of RbYCr2Mo (GGA-PBE).

Cell: 5.0008 5.0008 5.4584 Å, 90.00 90.00 90.00°
Fractional positions:
Rb: 0.0000 0.0000 0.0000
Y: 0.5000 0.5000 0.0000
Cr: 0.0000 0.5000 0.5000
Cr: 0.5000 0.0000 0.5000
Mo: 0.5000 0.5000 0.5000

Summary:
**Space-group type**: P4/mmm, No. 123
**Total moment**: 6.218 μB per cell
**Calculated total energy**: -6.38 eV per atom
**Energy relative to the elements**: 1.1172 eV per atom


# 3
Entry from Alexandria: a relaxed structure of LaPm8Y4 (GGA-PBE).

Cell: 7.9276 7.9276 7.9276 Å, 90.79 90.79 90.79°
Fractional positions:
La: 0.0000 0.0000 0.0000
Pm: 0.2557 0.7362 0.7362
Pm: 0.2621 0.2621 0.2621
Pm: 0.2638 0.2638 0.7443
Pm: 0.2638 0.7443 0.2638
Pm: 0.7362 0.2557 0.7362
Pm: 0.7362 0.7362 0.2557
Pm: 0.7379 0.7379 0.7379
Pm: 0.7443 0.2638 0.2638
Y: 0.0000 0.0000 0.5000
Y: 0.0000 0.5000 0.0000
Y: 0.5000 0.0000 0.0000
Y: 0.5000 0.5000 0.5000

Summary:
**Space-group type**: R-3m, No. 166
**Total moment**: 0.016 μB per cell
**Calculated total energy**: -4.79 eV per atom
**Energy relative to the elements**: 0.4998 eV per atom


Which of these has the lowest calculated total energy?
RbYCr2Mo